1.
# Ti3CdN

A geometry-optimized Ti3CdN structure (PBE, Alexandria via LeMat-Bulk).

Calculated values
Its crystal system is tetragonal. As for the raw formation energy: -0.19 eV/atom. Its density of states at the Fermi level is 1.276 states/eV per atom. The space-group type is I-4m2.

Geometry as POSCAR:
```
Ti3CdN
1.0
-2.574 -4.717 2.161
4.120 -3.324 -2.348
3.580 -3.581 4.210
Ti N Cd
6 2 2
direct
0.626 0.876 0.249
0.126 0.876 0.249
0.124 0.874 0.751
0.621 0.621 0.758
0.124 0.374 0.751
0.379 0.379 0.242
0.250 0.750 0.500
0.000 0.000 0.000
0.618 0.118 0.765
0.882 0.382 0.235
```



2.
# Rb2NpCl3F3

A geometry-optimized Rb2NpCl3F3 structure (PBE, Alexandria via LeMat-Bulk).

Calculated values
Its crystal system is hexagonal. As for the raw formation energy: -2.46 eV/atom. Its density of states at the Fermi level is 0.781 states/eV per atom. The space-group type is P-62m.

Geometry as POSCAR:
```
Rb2NpCl3F3
1.0
3.766 0.000 0.000
0.000 8.063 0.000
0.000 -4.032 6.983
Cl Rb F Np
3 2 3 1
direct
0.000 0.653 0.653
0.000 0.347 0.000
0.000 0.000 0.347
0.500 0.333 0.667
0.500 0.667 0.333
0.500 0.181 0.181
0.500 0.000 0.819
0.500 0.819 0.000
0.000 0.000 0.000
```



3.
# Ta4TcMo

A geometry-optimized Ta4TcMo structure (PBE, Alexandria via LeMat-Bulk).

Calculated values
Its crystal system is orthorhombic. Its density of states at the Fermi level is 0.964 states/eV per atom. The energy of formation from the pure elements is 1.18 eV/atom. The space-group type is Cmmm.

Geometry as POSCAR:
```
Ta4TcMo
1.0
4.459 0.000 0.000
0.000 5.389 0.020
0.000 0.029 5.389
Ta Mo Tc
4 1 1
direct
0.500 0.318 0.682
0.000 0.178 0.178
0.000 0.822 0.822
0.500 0.682 0.318
0.000 0.500 0.500
0.500 0.000 0.000
```



So what do the calculations give for total DFT energy (no corrections)? Going down the list: -6.7793; -5.3570; -10.2587 eV per atom.